# Ca2YGe3Pt4, relaxed, DFT GGA-PBE
data_Ca2YGe3Pt4
_cell_length_a 4.281
_cell_length_b 4.281
_cell_length_c 11.239
_cell_angle_alpha 90.00
_cell_angle_beta 90.00
_cell_angle_gamma 90.00
_space_group_name_H-M_alt 'P -4 m 2'
_space_group_IT_number 115
_space_group_name_Hall 'P -4 -2'
loop_
_atom_site_label
_atom_site_type_symbol
_atom_site_fract_x
_atom_site_fract_y
_atom_site_fract_z
Ca1 Ca 0.000 0.500 0.228
Y1 Y 0.000 0.000 0.500
Ge1 Ge 0.000 0.500 0.877
Ge2 Ge 0.500 0.500 0.500
Pt1 Pt 0.000 0.000 0.000
Pt2 Pt 0.000 0.500 0.660
Pt3 Pt 0.500 0.500 0.000
# Fermi-level density of states, states/eV per cell: 6.1
# Electronic total energy, eV per atom: -5.72
# Spin magnetization, Bohr magnetons per cell: 0.00
# Energy of formation, eV/atom: -0.88

***

# CaY2Ge3Pt4, relaxed, DFT GGA-PBE
data_CaY2Ge3Pt4
_cell_length_a 4.240
_cell_length_b 4.240
_cell_length_c 11.218
_cell_angle_alpha 90.00
_cell_angle_beta 90.00
_cell_angle_gamma 90.00
_space_group_name_H-M_alt 'P -4 m 2'
_space_group_IT_number 115
_space_group_name_Hall 'P -4 -2'
loop_
_atom_site_label
_atom_site_type_symbol
_atom_site_fract_x
_atom_site_fract_y
_atom_site_fract_z
Ca1 Ca 0.000 0.000 0.000
Y1 Y 0.000 0.500 0.723
Ge1 Ge 0.000 0.500 0.375
Ge2 Ge 0.500 0.500 0.000
Pt1 Pt 0.000 0.000 0.500
Pt2 Pt 0.000 0.500 0.160
Pt3 Pt 0.500 0.500 0.500
# Fermi-level density of states, states/eV per cell: 4.9
# Electronic total energy, eV per atom: -6.16
# Spin magnetization, Bohr magnetons per cell: 0.00
# Energy of formation, eV/atom: -0.87

***

# CaYGe2Pt5, relaxed, DFT GGA-PBE
data_CaYGe2Pt5
_cell_length_a 4.232
_cell_length_b 4.232
_cell_length_c 9.097
_cell_angle_alpha 90.00
_cell_angle_beta 90.00
_cell_angle_gamma 90.00
_space_group_name_H-M_alt 'P 4/m m m'
_space_group_IT_number 123
_space_group_name_Hall '-P 4 2'
loop_
_atom_site_label
_atom_site_type_symbol
_atom_site_fract_x
_atom_site_fract_y
_atom_site_fract_z
Ca1 Ca 0.000 0.000 0.000
Y1 Y 0.000 0.000 0.500
Ge1 Ge 0.500 0.500 0.366
Pt1 Pt 0.000 0.500 0.228
Pt2 Pt 0.500 0.500 0.000
# Fermi-level density of states, states/eV per cell: 6.1
# Electronic total energy, eV per atom: -6.12
# Spin magnetization, Bohr magnetons per cell: 0.00
# Energy of formation, eV/atom: -0.79